First-principles (PBE-GGA) data for a geometry-optimized ThMgFeTc structure, as listed in Alexandria via LeMat-Bulk.

Cell and atoms, written as CIF:
```
data_ThMgFeTc
_cell_length_a 6.624
_cell_length_b 6.624
_cell_length_c 6.624
_cell_angle_alpha 90.00
_cell_angle_beta 90.00
_cell_angle_gamma 90.00
_symmetry_space_group_name_H-M 'F -4 3 m'
_symmetry_Int_Tables_number 216
_symmetry_space_group_name_Hall 'F -4 2 3'
loop_
_atom_site_label
_atom_site_type_symbol
_atom_site_fract_x
_atom_site_fract_y
_atom_site_fract_z
_atom_site_occupancy
Th1 Th 0.000 0.000 0.000 1
Mg1 Mg 0.000 0.000 0.500 1
Fe1 Fe 0.250 0.250 0.750 1
Tc1 Tc 0.250 0.250 0.250 1
```

Properties
Its energy is -6.808 eV per atom. As for the formation enthalpy at 0 K: 0.153 eV/atom. As for the calculated density: 9373 kg/m³.